Entry 1:
{"formula": "CsCaTaNi2", "functional": "PBE-GGA", "state": "optimized geometry", "cell": [[-4.768, -0.974, 0.074], [1.084, -5.353, -0.636], [0.185, -0.537, 4.834]], "species": ["Cs", "Ni", "Ni", "Ca", "Ta"], "fractional_positions": [[0.000, 0.500, 0.000], [0.000, 0.000, 0.500], [0.500, 0.000, 0.000], [0.000, 0.000, 0.000], [0.500, 0.500, 0.500]], "e_form_ev_per_atom": 2.0738, "e_tot_ev_per_atom": -3.180, "magmom_total_mub_per_cell": 2.719}

---

Entry 2:
{"formula": "RbAlZnCu2", "functional": "PBE-GGA", "state": "optimized geometry", "cell": [[-2.352, 1.500, 4.066], [-3.174, -3.468, -0.556], [2.802, -3.002, 2.729]], "species": ["Zn", "Cu", "Cu", "Rb", "Al"], "fractional_positions": [[0.000, 0.000, 0.000], [0.000, 0.000, 0.500], [0.500, 0.000, 0.000], [0.500, 0.500, 0.500], [0.000, 0.500, 0.000]], "e_form_ev_per_atom": 0.4629, "e_tot_ev_per_atom": -2.372, "magmom_total_mub_per_cell": 0.000}